(1)
SmSi2Ru2 | the Alexandria database | PBE | optimized geometry; formation energy without anion corrections = -0.904 eV per atom; space-group type = I4/mmm
1.0
4.204 0.000 0.000
0.000 4.204 0.000
0.000 0.000 9.698
Sm Si Ru
2 4 4
Direct
0.000 0.000 0.000 Sm
0.500 0.500 0.500 Sm
0.000 0.000 0.367 Si
0.000 0.000 0.633 Si
0.500 0.500 0.133 Si
0.500 0.500 0.867 Si
0.000 0.500 0.250 Ru
0.000 0.500 0.750 Ru
0.500 0.000 0.250 Ru
0.500 0.000 0.750 Ru

=====

(2)
Sm2Si2SnRu5 | the Alexandria database | PBE | optimized geometry; formation energy without anion corrections = -0.590 eV per atom; space-group type = P4/mbm
1.0
10.201 0.000 0.000
0.000 10.201 0.000
0.000 0.000 3.278
Sm Si Sn Ru
4 4 2 10
Direct
0.175 0.325 0.000 Sm
0.325 0.825 0.000 Sm
0.675 0.175 0.000 Sm
0.825 0.675 0.000 Sm
0.124 0.624 0.000 Si
0.376 0.124 0.000 Si
0.624 0.876 0.000 Si
0.876 0.376 0.000 Si
0.000 0.000 0.000 Sn
0.500 0.500 0.000 Sn
0.000 0.500 0.500 Ru
0.068 0.786 0.500 Ru
0.214 0.068 0.500 Ru
0.286 0.568 0.500 Ru
0.432 0.286 0.500 Ru
0.500 0.000 0.500 Ru
0.568 0.714 0.500 Ru
0.714 0.432 0.500 Ru
0.786 0.932 0.500 Ru
0.932 0.214 0.500 Ru

=====

(3)
Sm2ZnSi2Ru5 | the Alexandria database | PBE | optimized geometry; formation energy without anion corrections = -0.450 eV per atom; space-group type = P4/mbm
1.0
10.011 0.000 0.000
0.000 10.011 0.000
0.000 0.000 3.296
Sm Zn Si Ru
4 2 4 10
Direct
0.173 0.327 0.000 Sm
0.327 0.827 0.000 Sm
0.673 0.173 0.000 Sm
0.827 0.673 0.000 Sm
0.000 0.000 0.000 Zn
0.500 0.500 0.000 Zn
0.128 0.628 0.000 Si
0.372 0.128 0.000 Si
0.628 0.872 0.000 Si
0.872 0.372 0.000 Si
0.000 0.500 0.500 Ru
0.068 0.791 0.500 Ru
0.209 0.068 0.500 Ru
0.291 0.568 0.500 Ru
0.432 0.291 0.500 Ru
0.500 0.000 0.500 Ru
0.568 0.709 0.500 Ru
0.709 0.432 0.500 Ru
0.791 0.932 0.500 Ru
0.932 0.209 0.500 Ru

=====

(4)
Si2SnRu2 | the Alexandria database | PBE | optimized geometry; formation energy without anion corrections = -0.233 eV per atom; space-group type = P4/mbm
1.0
7.252 0.000 0.000
0.000 7.252 0.000
0.000 0.000 2.903
Si Sn Ru
4 2 4
Direct
0.138 0.362 0.000 Si
0.362 0.862 0.000 Si
0.638 0.138 0.000 Si
0.862 0.638 0.000 Si
0.000 0.000 0.500 Sn
0.500 0.500 0.500 Sn
0.149 0.649 0.500 Ru
0.351 0.149 0.500 Ru
0.649 0.851 0.500 Ru
0.851 0.351 0.500 Ru

=====

(5)
SiSnRu2 | the Alexandria database | PBE | optimized geometry; formation energy without anion corrections = -0.311 eV per atom; space-group type = P4/mmm
1.0
3.036 0.000 0.000
0.000 3.036 0.000
0.000 0.000 6.434
Si Sn Ru
1 1 2
Direct
0.000 0.000 0.000 Si
0.000 0.000 0.500 Sn
0.500 0.500 0.219 Ru
0.500 0.500 0.781 Ru

=====

(6)
Si3SnRu | the Alexandria database | PBE | optimized geometry; formation energy without anion corrections = 0.391 eV per atom; space-group type = Pm-3m; offset from the most stable computed form = 0.0000 eV per atom
1.0
4.672 0.000 0.000
0.000 4.672 0.000
0.000 0.000 4.672
Si Sn Ru
3 1 1
Direct
0.000 0.000 0.500 Si
0.000 0.500 0.000 Si
0.500 0.000 0.000 Si
0.500 0.500 0.500 Sn
0.000 0.000 0.000 Ru

=====

| no. | calculated volume (Å³/atom) |
| --- | --- |
| 1 | 17.1 |
| 2 | 17.1 |
| 3 | 16.5 |
| 4 | 15.3 |
| 5 | 14.8 |
| 6 | 20.4 |